# 1
! PBE La3Tm2In3, relaxed; values from VASP
! Calculated formation energy in eV per atom: -0.35
! Energy above the lowest structure with this stoichiometry in meV per atom: 15
&SYSTEM
  ibrav = 0, nat = 8, ntyp = 3
/
ATOMIC_SPECIES
La 138.91 La.upf
Tm 168.93 Tm.upf
In 114.82 In.upf
ATOMIC_POSITIONS crystal
La 0.000 0.243 0.000
La 0.243 0.000 0.000
La 0.757 0.757 0.000
Tm 0.333 0.667 0.000
Tm 0.667 0.333 0.000
In 0.000 0.606 0.500
In 0.394 0.394 0.500
In 0.606 0.000 0.500
CELL_PARAMETERS angstrom
8.968 0.000 0.000
-4.484 7.766 0.000
0.000 0.000 3.364

***

# 2
! PBE Rb2CuI2Br2, relaxed; values from VASP
! Electronic total energy in eV per atom: -2.748
&SYSTEM
  ibrav = 0, nat = 7, ntyp = 4
/
ATOMIC_SPECIES
Rb 85.47 Rb.upf
Cu 63.55 Cu.upf
I 126.90 I.upf
Br 79.90 Br.upf
ATOMIC_POSITIONS crystal
Rb 0.215 0.214 0.428
Rb 0.785 0.786 0.572
Cu 0.000 0.500 0.000
I 0.500 0.247 0.000
I 0.500 0.753 0.000
Br 0.183 0.683 0.367
Br 0.817 0.317 0.633
CELL_PARAMETERS angstrom
6.530 0.000 0.000
-0.006 6.787 0.000
-3.239 -3.384 6.217

***

# 3
! PBE PaNi3, relaxed; values from VASP
! Calculated formation energy in eV per atom: 0.15
! Energy above the lowest structure with this stoichiometry in meV per atom: 576
&SYSTEM
  ibrav = 0, nat = 4, ntyp = 2
/
ATOMIC_SPECIES
Pa 231.04 Pa.upf
Ni 58.69 Ni.upf
ATOMIC_POSITIONS crystal
Pa 0.000 0.000 0.000
Ni 0.252 0.252 0.000
Ni 0.500 0.500 0.000
Ni 0.748 0.748 0.000
CELL_PARAMETERS angstrom
-1.847 1.847 4.788
1.847 -1.847 4.788
1.847 1.847 -4.788

***

# 4
! PBE Ac2TaGe4Pt3, relaxed; values from VASP
! Calculated formation energy in eV per atom: -0.81
&SYSTEM
  ibrav = 0, nat = 10, ntyp = 4
/
ATOMIC_SPECIES
Ac 227.00 Ac.upf
Ta 180.95 Ta.upf
Ge 72.64 Ge.upf
Pt 195.08 Pt.upf
ATOMIC_POSITIONS crystal
Ac 0.000 0.500 0.238
Ac 0.500 0.000 0.762
Ta 0.000 0.000 0.500
Ge 0.000 0.000 0.000
Ge 0.000 0.500 0.637
Ge 0.500 0.000 0.363
Ge 0.500 0.500 0.000
Pt 0.000 0.500 0.875
Pt 0.500 0.000 0.125
Pt 0.500 0.500 0.500
CELL_PARAMETERS angstrom
4.389 0.000 0.000
0.000 4.389 0.000
0.000 0.000 10.888

***

# 5
! PBE Tb5NdTm2Th, relaxed; values from VASP
! Calculated formation energy in eV per atom: 0.17
&SYSTEM
  ibrav = 0, nat = 18, ntyp = 4
/
ATOMIC_SPECIES
Tb 158.93 Tb.upf
Nd 144.24 Nd.upf
Tm 168.93 Tm.upf
Th 232.04 Th.upf
ATOMIC_POSITIONS crystal
Tb 0.016 0.984 0.500
Tb 0.274 0.726 0.798
Tb 0.297 0.703 0.187
Tb 0.388 0.612 0.506
Tb 0.476 0.524 0.216
Tb 0.524 0.476 0.716
Tb 0.612 0.388 0.006
Tb 0.703 0.297 0.687
Tb 0.726 0.274 0.298
Tb 0.984 0.016 0.000
Nd 0.411 0.589 0.920
Nd 0.589 0.411 0.420
Tm 0.113 0.887 0.799
Tm 0.115 0.885 0.209
Tm 0.885 0.115 0.709
Tm 0.887 0.113 0.299
Th 0.197 0.803 0.496
Th 0.803 0.197 0.996
CELL_PARAMETERS angstrom
2.823 -10.106 0.000
2.823 10.106 0.000
0.000 0.000 10.306

***

# 6
! PBE LiTiTe2, relaxed; values from VASP
! Electronic total energy in eV per atom: -4.032
&SYSTEM
  ibrav = 0, nat = 4, ntyp = 3
/
ATOMIC_SPECIES
Li 6.94 Li.upf
Ti 47.87 Ti.upf
Te 127.60 Te.upf
ATOMIC_POSITIONS crystal
Li 0.000 0.000 0.000
Ti 0.500 0.500 0.500
Te 0.405 0.405 0.405
Te 0.595 0.595 0.595
CELL_PARAMETERS angstrom
1.756 1.014 9.359
-1.756 1.014 9.359
0.000 -2.027 9.359

***

# 7
! PBE La8Co, relaxed; values from VASP
! Calculated formation energy in eV per atom: 0.16
&SYSTEM
  ibrav = 0, nat = 9, ntyp = 2
/
ATOMIC_SPECIES
La 138.91 La.upf
Co 58.93 Co.upf
ATOMIC_POSITIONS crystal
La 0.000 0.307 0.307
La 0.000 0.693 0.693
La 0.307 0.000 0.307
La 0.336 0.336 0.671
La 0.336 0.664 0.000
La 0.664 0.336 0.000
La 0.664 0.664 0.329
La 0.693 0.000 0.693
Co 0.000 0.000 0.000
CELL_PARAMETERS angstrom
-5.299 5.299 2.604
5.299 -5.299 2.604
5.299 5.299 -2.604

***

# 8
! PBE Tb2Dy3Ho6In, relaxed; values from VASP
! Calculated formation energy in eV per atom: -0.05
&SYSTEM
  ibrav = 0, nat = 12, ntyp = 4
/
ATOMIC_SPECIES
Tb 158.93 Tb.upf
Dy 162.50 Dy.upf
Ho 164.93 Ho.upf
In 114.82 In.upf
ATOMIC_POSITIONS crystal
Tb 0.166 0.834 0.000
Tb 0.834 0.166 0.000
Dy 0.000 0.000 0.500
Dy 0.333 0.667 0.500
Dy 0.667 0.333 0.500
Ho 0.090 0.418 0.753
Ho 0.253 0.253 0.249
Ho 0.418 0.090 0.753
Ho 0.582 0.910 0.247
Ho 0.747 0.747 0.751
Ho 0.910 0.582 0.247
In 0.500 0.500 0.000
CELL_PARAMETERS angstrom
3.030 -5.252 0.000
3.030 5.252 0.000
-2.032 0.000 11.430

***

# 9
! PBE Bi2AuS, relaxed; values from VASP
! Electronic total energy in eV per atom: -3.862
&SYSTEM
  ibrav = 0, nat = 4, ntyp = 3
/
ATOMIC_SPECIES
Bi 208.98 Bi.upf
Au 196.97 Au.upf
S 32.06 S.upf
ATOMIC_POSITIONS crystal
Bi 0.249 0.249 0.249
Bi 0.751 0.751 0.751
Au 0.500 0.500 0.500
S 0.000 0.000 0.000
CELL_PARAMETERS angstrom
1.968 1.136 7.649
-1.968 1.136 7.649
0.000 -2.272 7.649

***

# 10
! PBE BeSiSb2, relaxed; values from VASP
! Electronic total energy in eV per atom: -3.865
&SYSTEM
  ibrav = 0, nat = 4, ntyp = 3
/
ATOMIC_SPECIES
Be 9.01 Be.upf
Si 28.09 Si.upf
Sb 121.76 Sb.upf
ATOMIC_POSITIONS crystal
Be 0.000 0.000 0.000
Si 0.500 0.500 0.857
Sb 0.000 0.000 0.593
Sb 0.500 0.500 0.220
CELL_PARAMETERS angstrom
3.025 0.000 0.000
0.000 3.025 0.000
0.000 0.000 9.057

***

# 11
! PBE Os2RhBr, relaxed; values from VASP
! Energy above the lowest structure with this stoichiometry in meV per atom: 408
&SYSTEM
  ibrav = 0, nat = 4, ntyp = 3
/
ATOMIC_SPECIES
Os 190.23 Os.upf
Rh 102.91 Rh.upf
Br 79.90 Br.upf
ATOMIC_POSITIONS crystal
Os 0.249 0.249 0.222
Os 0.751 0.751 0.778
Rh 0.500 0.500 0.000
Br 0.000 0.000 0.500
CELL_PARAMETERS angstrom
4.458 -1.424 0.000
4.458 1.424 0.000
-1.016 0.000 4.943

***

# 12
! PBE TaGaS3, relaxed; values from VASP
! Electronic total energy in eV per atom: -5.938
&SYSTEM
  ibrav = 0, nat = 5, ntyp = 3
/
ATOMIC_SPECIES
Ta 180.95 Ta.upf
Ga 69.72 Ga.upf
S 32.06 S.upf
ATOMIC_POSITIONS crystal
Ta 0.000 0.000 0.000
Ga 0.500 0.500 0.500
S 0.000 0.000 0.500
S 0.000 0.500 0.000
S 0.500 0.000 0.000
CELL_PARAMETERS angstrom
4.823 0.000 0.000
0.000 4.823 0.000
0.000 0.000 4.823

***

# 13
! PBE Li6CdAu3, relaxed; values from VASP
! Calculated formation energy in eV per atom: -0.43
! Energy above the lowest structure with this stoichiometry in meV per atom: 0
&SYSTEM
  ibrav = 0, nat = 20, ntyp = 3
/
ATOMIC_SPECIES
Li 6.94 Li.upf
Cd 112.41 Cd.upf
Au 196.97 Au.upf
ATOMIC_POSITIONS crystal
Li 0.033 0.250 0.424
Li 0.145 0.750 0.176
Li 0.215 0.250 0.009
Li 0.337 0.250 0.325
Li 0.338 0.750 0.766
Li 0.428 0.250 0.612
Li 0.572 0.750 0.388
Li 0.662 0.250 0.234
Li 0.663 0.750 0.675
Li 0.785 0.750 0.991
Li 0.855 0.250 0.824
Li 0.967 0.750 0.576
Cd 0.459 0.750 0.086
Cd 0.541 0.250 0.914
Au 0.053 0.750 0.873
Au 0.137 0.250 0.714
Au 0.272 0.750 0.476
Au 0.728 0.250 0.524
Au 0.863 0.750 0.286
Au 0.947 0.250 0.127
CELL_PARAMETERS angstrom
7.553 0.000 0.000
0.000 4.637 0.000
-3.666 0.000 9.314

***

# 14
! PBE RbSb2Rh2, relaxed; values from VASP
! Electronic total energy in eV per atom: -4.910
&SYSTEM
  ibrav = 0, nat = 10, ntyp = 3
/
ATOMIC_SPECIES
Rb 85.47 Rb.upf
Sb 121.76 Sb.upf
Rh 102.91 Rh.upf
ATOMIC_POSITIONS crystal
Rb 0.000 0.000 0.000
Rb 0.500 0.500 0.000
Sb 0.144 0.356 0.500
Sb 0.356 0.856 0.500
Sb 0.644 0.144 0.500
Sb 0.856 0.644 0.500
Rh 0.122 0.622 0.000
Rh 0.378 0.122 0.000
Rh 0.622 0.878 0.000
Rh 0.878 0.378 0.000
CELL_PARAMETERS angstrom
8.402 0.000 0.000
0.000 8.402 0.000
0.000 0.000 3.192

***

# 15
! PBE LaTe2BrF, relaxed; values from VASP
! Electronic total energy in eV per atom: -4.113
&SYSTEM
  ibrav = 0, nat = 5, ntyp = 4
/
ATOMIC_SPECIES
La 138.91 La.upf
Te 127.60 Te.upf
Br 79.90 Br.upf
F 19.00 F.upf
ATOMIC_POSITIONS crystal
La 0.000 0.000 0.000
Te 0.000 0.500 0.000
Te 0.500 0.000 0.000
Br 0.500 0.500 0.500
F 0.000 0.000 0.500
CELL_PARAMETERS angstrom
6.407 0.000 0.000
0.000 6.407 0.000
0.000 0.000 4.545

***

# 16
! PBE HfN2, relaxed; values from VASP
! Electronic total energy in eV per atom: -9.673
&SYSTEM
  ibrav = 0, nat = 12, ntyp = 2
/
ATOMIC_SPECIES
Hf 178.49 Hf.upf
N 14.01 N.upf
ATOMIC_POSITIONS crystal
Hf 0.000 0.000 0.000
Hf 0.000 0.500 0.500
Hf 0.500 0.000 0.500
Hf 0.500 0.500 0.000
N 0.085 0.585 0.915
N 0.085 0.915 0.415
N 0.415 0.085 0.915
N 0.415 0.415 0.415
N 0.585 0.585 0.585
N 0.585 0.915 0.085
N 0.915 0.085 0.585
N 0.915 0.415 0.085
CELL_PARAMETERS angstrom
5.128 0.000 0.000
0.000 5.128 0.000
0.000 0.000 5.128

***

# 17
! PBE AcTbP2S8, relaxed; values from VASP
! Electronic total energy in eV per atom: -5.361
&SYSTEM
  ibrav = 0, nat = 12, ntyp = 4
/
ATOMIC_SPECIES
Ac 227.00 Ac.upf
Tb 158.93 Tb.upf
P 30.97 P.upf
S 32.06 S.upf
ATOMIC_POSITIONS crystal
Ac 0.000 0.000 0.000
Tb 0.000 0.000 0.500
P 0.333 0.667 0.769
P 0.667 0.333 0.231
S 0.007 0.334 0.708
S 0.326 0.993 0.708
S 0.333 0.667 0.991
S 0.334 0.326 0.292
S 0.666 0.674 0.708
S 0.667 0.333 0.009
S 0.674 0.007 0.292
S 0.993 0.666 0.292
CELL_PARAMETERS angstrom
6.012 0.000 0.000
-3.006 5.207 0.000
0.000 0.000 9.143

***

# 18
! PBE RbHgF2, relaxed; values from VASP
! Energy above the lowest structure with this stoichiometry in meV per atom: 0
&SYSTEM
  ibrav = 0, nat = 8, ntyp = 3
/
ATOMIC_SPECIES
Rb 85.47 Rb.upf
Hg 200.59 Hg.upf
F 19.00 F.upf
ATOMIC_POSITIONS crystal
Rb 0.000 0.000 0.000
Rb 0.434 0.500 0.817
Hg 0.656 0.000 0.281
Hg 0.977 0.000 0.517
F 0.011 0.500 0.737
F 0.291 0.000 0.582
F 0.391 0.000 0.083
F 0.761 0.500 0.090
CELL_PARAMETERS angstrom
7.081 0.000 0.000
0.000 3.918 0.000
-1.672 0.000 7.558

***

# 19
! PBE RbAlGa, relaxed; values from VASP
! Calculated formation energy in eV per atom: 0.09
! Energy above the lowest structure with this stoichiometry in meV per atom: 114
&SYSTEM
  ibrav = 0, nat = 6, ntyp = 3
/
ATOMIC_SPECIES
Rb 85.47 Rb.upf
Al 26.98 Al.upf
Ga 69.72 Ga.upf
ATOMIC_POSITIONS crystal
Rb 0.196 0.804 0.000
Rb 0.804 0.196 0.000
Al 0.243 0.243 0.745
Al 0.757 0.757 0.255
Ga 0.411 0.589 0.500
Ga 0.589 0.411 0.500
CELL_PARAMETERS angstrom
3.523 -7.657 0.000
3.523 7.657 0.000
-1.953 0.000 3.243

***

# 20
! PBE Li6AgSb, relaxed; values from VASP
! Electronic total energy in eV per atom: -2.642
&SYSTEM
  ibrav = 0, nat = 8, ntyp = 3
/
ATOMIC_SPECIES
Li 6.94 Li.upf
Ag 107.87 Ag.upf
Sb 121.76 Sb.upf
ATOMIC_POSITIONS crystal
Li 0.013 0.506 0.000
Li 0.328 0.164 0.500
Li 0.494 0.506 0.000
Li 0.494 0.987 0.000
Li 0.836 0.164 0.500
Li 0.836 0.672 0.500
Ag 0.000 0.000 0.000
Sb 0.333 0.667 0.500
CELL_PARAMETERS angstrom
5.911 0.000 0.000
-2.955 5.119 0.000
0.000 0.000 4.701